Below is a geometry-optimized NdCuPdPt3 structure, with properties calculated at the GGA-PBE level. Values from VASP.

Output
Total magnetization = 0.0 μB per cell
E = -35.6 eV/cell
Symmetry = No. 187
Formation enthalpy at 0 K = -632 meV per atom

Structure (Quantum ESPRESSO input):
```
&SYSTEM
  ibrav = 0, nat = 6, ntyp = 4
/
ATOMIC_SPECIES
Nd 144.24 Nd.upf
Cu 63.55 Cu.upf
Pd 106.42 Pd.upf
Pt 195.08 Pt.upf
CELL_PARAMETERS angstrom
5.3791 0.0000 0.0000
-2.6895 4.6584 0.0000
0.0000 0.0000 4.3426
ATOMIC_POSITIONS crystal
Nd 0.0000 0.0000 0.0000
Cu 0.6667 0.3333 0.0000
Pd 0.3333 0.6667 0.0000
Pt 0.5020 0.0039 0.5000
Pt 0.5020 0.4980 0.5000
Pt 0.9961 0.4980 0.5000
```